[1]
# PBE Tb2SmDyIn4, optimized geometry
# Calculated density = 8.36 Mg/m³
# Fermi-level density of states = 0.399 states/eV per atom
data_Tb2SmDyIn4
_symmetry_space_group_name_H-M 'R -3 m'
_symmetry_Int_Tables_number 166
_symmetry_space_group_name_Hall '-R 3 2"'
_cell_length_a 5.3447
_cell_length_b 5.3447
_cell_length_c 26.2395
_cell_angle_alpha 90.00
_cell_angle_beta 90.00
_cell_angle_gamma 120.00
loop_
_atom_site_label
_atom_site_fract_x
_atom_site_fract_y
_atom_site_fract_z
Tb1 0.0000 0.0000 0.2503
Sm1 0.0000 0.0000 0.5000
Dy1 0.0000 0.0000 0.0000
In1 0.0000 0.0000 0.1242
In2 0.0000 0.0000 0.3742

[2]
# PBE Tb3Sm2Dy6In, optimized geometry
# Calculated density = 8.35 Mg/m³
# Fermi-level density of states = 1.282 states/eV per atom
data_Tb3Sm2Dy6In
_symmetry_space_group_name_H-M 'C 1 2/m 1'
_symmetry_Int_Tables_number 12
_cell_length_a 6.097
_cell_length_b 10.568
_cell_length_c 11.702
_cell_angle_alpha 90.00
_cell_angle_beta 100.05
_cell_angle_gamma 90.00
loop_
_symmetry_equiv_pos_as_xyz
'x,y,z'
'-x,-y,-z'
'-x,y,-z'
'x,-y,z'
'x+1/2,y+1/2,z'
'-x+1/2,-y+1/2,-z'
'-x+1/2,y+1/2,-z'
'x+1/2,-y+1/2,z'
loop_
_atom_site_label
_atom_site_fract_x
_atom_site_fract_y
_atom_site_fract_z
Tb1 0.000 0.000 0.000
Tb2 0.000 0.333 0.000
Sm1 0.000 0.166 0.500
Dy1 0.245 0.500 0.251
Dy2 0.246 0.336 0.748
In1 0.000 0.500 0.500

[3]
# PBE TbSmDy2In4, optimized geometry
# Calculated density = 8.41 Mg/m³
# Fermi-level density of states = 0.416 states/eV per atom
data_TbSmDy2In4
_symmetry_space_group_name_H-M 'R -3 m'
_symmetry_Int_Tables_number 166
_symmetry_space_group_name_Hall '-R 3 2"'
_cell_length_a 5.3407
_cell_length_b 5.3407
_cell_length_c 26.2172
_cell_angle_alpha 90.00
_cell_angle_beta 90.00
_cell_angle_gamma 120.00
loop_
_atom_site_label
_atom_site_fract_x
_atom_site_fract_y
_atom_site_fract_z
Tb1 0.0000 0.0000 0.0000
Sm1 0.0000 0.0000 0.5000
Dy1 0.0000 0.0000 0.2502
In1 0.0000 0.0000 0.1244
In2 0.0000 0.0000 0.3744

no.,energy (eV per atom)
1,-4.169
2,-4.525
3,-4.162